A plane-wave DFT calculation with GGA-PBE was carried out for crystalline Dy3CuBr3 at its relaxed geometry.

```
data_Dy3CuBr3
_chemical_formula_sum 'Dy12 Cu4 Br12'
_space_group_name_H-M_alt 'P 1'
_space_group_IT_number 1
_cell_length_a 10.022
_cell_length_b 10.022
_cell_length_c 10.022
_cell_angle_alpha 109.47
_cell_angle_beta 109.47
_cell_angle_gamma 109.47
loop_
_space_group_symop_operation_xyz
'x,y,z'
loop_
_atom_site_label
_atom_site_fract_x
_atom_site_fract_y
_atom_site_fract_z
Dy1 0.014 0.029 0.264
Dy2 0.014 0.486 0.750
Dy3 0.029 0.264 0.014
Dy4 0.236 0.264 0.750
Dy5 0.236 0.471 0.486
Dy6 0.264 0.014 0.029
Dy7 0.264 0.750 0.236
Dy8 0.471 0.486 0.236
Dy9 0.486 0.236 0.471
Dy10 0.486 0.750 0.014
Dy11 0.750 0.014 0.486
Dy12 0.750 0.236 0.264
Cu1 0.000 0.250 0.500
Cu2 0.250 0.250 0.250
Cu3 0.250 0.500 0.000
Cu4 0.500 0.000 0.250
Br1 0.250 0.758 0.742
Br2 0.250 0.992 0.508
Br3 0.508 0.250 0.992
Br4 0.508 0.758 0.516
Br5 0.516 0.508 0.758
Br6 0.742 0.250 0.758
Br7 0.742 0.992 0.984
Br8 0.758 0.516 0.508
Br9 0.758 0.742 0.250
Br10 0.984 0.742 0.992
Br11 0.992 0.508 0.250
Br12 0.992 0.984 0.742
```

Output
* DOS(E_F): 0.7636 states/eV per atom
* total energy: -4.381 eV per atom
* crystal system: cubic
* formation energy from raw total energies: -1.107 eV/atom

=====

A plane-wave DFT calculation with GGA-PBE was carried out for crystalline DyCuBr6 at its relaxed geometry.

```
data_DyCuBr6
_chemical_formula_sum 'Dy1 Cu1 Br6'
_space_group_name_H-M_alt 'P 1'
_space_group_IT_number 1
_cell_length_a 5.773
_cell_length_b 7.143
_cell_length_c 7.850
_cell_angle_alpha 70.18
_cell_angle_beta 73.14
_cell_angle_gamma 85.91
loop_
_space_group_symop_operation_xyz
'x,y,z'
loop_
_atom_site_label
_atom_site_fract_x
_atom_site_fract_y
_atom_site_fract_z
Dy1 0.000 0.000 0.000
Cu1 0.500 0.500 0.000
Br1 0.021 0.813 0.358
Br2 0.278 0.368 0.846
Br3 0.421 0.824 0.819
Br4 0.579 0.176 0.181
Br5 0.722 0.632 0.154
Br6 0.979 0.187 0.642
```

Output
* total energy: -3.261 eV per atom
* crystal system: triclinic
* formation energy from raw total energies: -0.919 eV/atom

=====

A plane-wave DFT calculation with GGA-PBE was carried out for crystalline DyCu2Br6 at its relaxed geometry.

```
data_DyCu2Br6
_chemical_formula_sum 'Dy2 Cu4 Br12'
_space_group_name_H-M_alt 'P 1'
_space_group_IT_number 1
_cell_length_a 9.965
_cell_length_b 9.965
_cell_length_c 7.054
_cell_angle_alpha 107.61
_cell_angle_beta 107.61
_cell_angle_gamma 80.61
loop_
_space_group_symop_operation_xyz
'x,y,z'
loop_
_atom_site_label
_atom_site_fract_x
_atom_site_fract_y
_atom_site_fract_z
Dy1 0.087 0.913 0.750
Dy2 0.913 0.087 0.250
Cu1 0.343 0.523 0.841
Cu2 0.477 0.657 0.659
Cu3 0.523 0.343 0.341
Cu4 0.657 0.477 0.159
Br1 0.052 0.182 0.671
Br2 0.118 0.650 0.836
Br3 0.182 0.052 0.171
Br4 0.322 0.457 0.462
Br5 0.350 0.882 0.664
Br6 0.457 0.322 0.962
Br7 0.543 0.678 0.038
Br8 0.650 0.118 0.336
Br9 0.678 0.543 0.538
Br10 0.818 0.948 0.829
Br11 0.882 0.350 0.164
Br12 0.948 0.818 0.329
```

Output
* DOS(E_F): 0.7658 states/eV per atom
* total energy: -3.516 eV per atom
* energy above the most stable polymorph in this dataset: 0 meV per atom
* crystal system: monoclinic
* formation energy from raw total energies: -0.979 eV/atom

=====

A plane-wave DFT calculation with GGA-PBE was carried out for crystalline Dy2CuBr2 at its relaxed geometry.

```
data_Dy2CuBr2
_chemical_formula_sum 'Dy2 Cu1 Br2'
_space_group_name_H-M_alt 'P 1'
_space_group_IT_number 1
_cell_length_a 11.364
_cell_length_b 11.364
_cell_length_c 11.364
_cell_angle_alpha 19.86
_cell_angle_beta 19.86
_cell_angle_gamma 19.86
loop_
_space_group_symop_operation_xyz
'x,y,z'
loop_
_atom_site_label
_atom_site_fract_x
_atom_site_fract_y
_atom_site_fract_z
Dy1 0.116 0.116 0.116
Dy2 0.884 0.884 0.884
Cu1 0.500 0.500 0.500
Br1 0.274 0.274 0.274
Br2 0.726 0.726 0.726
```

Output
* DOS(E_F): 0.7294 states/eV per atom
* total energy: -4.374 eV per atom
* crystal system: trigonal
* formation energy from raw total energies: -1.045 eV/atom

=====

A plane-wave DFT calculation with GGA-PBE was carried out for crystalline Dy2CuBr8 at its relaxed geometry.

```
data_Dy2CuBr8
_chemical_formula_sum 'Dy2 Cu1 Br8'
_space_group_name_H-M_alt 'P 1'
_space_group_IT_number 1
_cell_length_a 8.557
_cell_length_b 8.557
_cell_length_c 7.341
_cell_angle_alpha 90.84
_cell_angle_beta 90.84
_cell_angle_gamma 67.26
loop_
_space_group_symop_operation_xyz
'x,y,z'
loop_
_atom_site_label
_atom_site_fract_x
_atom_site_fract_y
_atom_site_fract_z
Dy1 0.193 0.193 0.173
Dy2 0.807 0.807 0.827
Cu1 0.000 0.000 0.500
Br1 0.112 0.727 0.661
Br2 0.179 0.179 0.814
Br3 0.273 0.888 0.339
Br4 0.367 0.367 0.275
Br5 0.633 0.633 0.725
Br6 0.727 0.112 0.661
Br7 0.821 0.821 0.186
Br8 0.888 0.273 0.339
```

Output
* total energy: -3.679 eV per atom
* crystal system: monoclinic
* formation energy from raw total energies: -1.253 eV/atom

=====

A plane-wave DFT calculation with GGA-PBE was carried out for crystalline KDyCuBr6 at its relaxed geometry.

```
data_KDyCuBr6
_chemical_formula_sum 'K1 Dy1 Cu1 Br6'
_space_group_name_H-M_alt 'P 1'
_space_group_IT_number 1
_cell_length_a 6.904
_cell_length_b 6.907
_cell_length_c 7.409
_cell_angle_alpha 93.43
_cell_angle_beta 93.41
_cell_angle_gamma 113.73
loop_
_space_group_symop_operation_xyz
'x,y,z'
loop_
_atom_site_label
_atom_site_fract_x
_atom_site_fract_y
_atom_site_fract_z
K1 0.000 0.000 0.000
Dy1 0.339 0.662 0.500
Cu1 0.689 0.313 0.499
Br1 0.017 0.344 0.676
Br2 0.026 0.613 0.238
Br3 0.386 0.974 0.762
Br4 0.424 0.351 0.284
Br5 0.649 0.577 0.716
Br6 0.656 0.984 0.324
```

Output
* DOS(E_F): 0.0021 states/eV per atom
* total energy: -3.500 eV per atom
* crystal system: triclinic
* formation energy from raw total energies: -1.296 eV/atom

=====

A plane-wave DFT calculation with GGA-PBE was carried out for crystalline Na2DyCuBr6 at its relaxed geometry.

```
data_Na2DyCuBr6
_chemical_formula_sum 'Na4 Dy2 Cu2 Br12'
_space_group_name_H-M_alt 'P 1'
_space_group_IT_number 1
_cell_length_a 6.990
_cell_length_b 7.427
_cell_length_c 12.717
_cell_angle_alpha 90.00
_cell_angle_beta 120.87
_cell_angle_gamma 90.00
loop_
_space_group_symop_operation_xyz
'x,y,z'
loop_
_atom_site_label
_atom_site_fract_x
_atom_site_fract_y
_atom_site_fract_z
Na1 0.196 0.090 0.238
Na2 0.196 0.410 0.738
Na3 0.804 0.590 0.262
Na4 0.804 0.910 0.762
Dy1 0.500 0.000 0.000
Dy2 0.500 0.500 0.500
Cu1 0.000 0.000 0.500
Cu2 0.000 0.500 0.000
Br1 0.115 0.203 0.935
Br2 0.115 0.297 0.435
Br3 0.233 0.685 0.929
Br4 0.233 0.815 0.429
Br5 0.400 0.044 0.758
Br6 0.400 0.456 0.258
Br7 0.600 0.544 0.742
Br8 0.600 0.956 0.242
Br9 0.767 0.185 0.571
Br10 0.767 0.315 0.071
Br11 0.885 0.703 0.565
Br12 0.885 0.797 0.065
```

Output
* DOS(E_F): 0.0000 states/eV per atom
* total energy: -3.503 eV per atom
* crystal system: monoclinic
* formation energy from raw total energies: -1.366 eV/atom

=====

A plane-wave DFT calculation with GGA-PBE was carried out for crystalline Rb3DyCu2Br9 at its relaxed geometry.

```
data_Rb3DyCu2Br9
_chemical_formula_sum 'Rb3 Dy1 Cu2 Br9'
_space_group_name_H-M_alt 'P 1'
_space_group_IT_number 1
_cell_length_a 7.632
_cell_length_b 7.632
_cell_length_c 9.446
_cell_angle_alpha 90.00
_cell_angle_beta 90.00
_cell_angle_gamma 120.00
loop_
_space_group_symop_operation_xyz
'x,y,z'
loop_
_atom_site_label
_atom_site_fract_x
_atom_site_fract_y
_atom_site_fract_z
Rb1 0.000 0.000 0.000
Rb2 0.333 0.667 0.680
Rb3 0.667 0.333 0.320
Dy1 0.000 0.000 0.500
Cu1 0.333 0.667 0.137
Cu2 0.667 0.333 0.863
Br1 0.000 0.500 0.000
Br2 0.171 0.343 0.328
Br3 0.171 0.829 0.328
Br4 0.343 0.171 0.672
Br5 0.500 0.000 0.000
Br6 0.500 0.500 0.000
Br7 0.657 0.829 0.328
Br8 0.829 0.171 0.672
Br9 0.829 0.657 0.672
```

Output
* DOS(E_F): 0.2731 states/eV per atom
* total energy: -3.326 eV per atom
* crystal system: trigonal
* formation energy from raw total energies: -1.276 eV/atom

=====

A plane-wave DFT calculation with GGA-PBE was carried out for crystalline DyTl2CuBr6 at its relaxed geometry.

```
data_DyTl2CuBr6
_chemical_formula_sum 'Dy1 Tl2 Cu1 Br6'
_space_group_name_H-M_alt 'P 1'
_space_group_IT_number 1
_cell_length_a 8.163
_cell_length_b 8.163
_cell_length_c 6.863
_cell_angle_alpha 108.93
_cell_angle_beta 108.93
_cell_angle_gamma 54.60
loop_
_space_group_symop_operation_xyz
'x,y,z'
loop_
_atom_site_label
_atom_site_fract_x
_atom_site_fract_y
_atom_site_fract_z
Dy1 0.000 0.000 0.000
Tl1 0.260 0.260 0.807
Tl2 0.740 0.740 0.193
Cu1 0.500 0.500 0.500
Br1 0.194 0.194 0.290
Br2 0.196 0.672 0.216
Br3 0.328 0.804 0.784
Br4 0.672 0.196 0.216
Br5 0.804 0.328 0.784
Br6 0.806 0.806 0.710
```

Output
* DOS(E_F): 0.0000 states/eV per atom
* total energy: -3.439 eV per atom
* crystal system: monoclinic
* formation energy from raw total energies: -1.092 eV/atom